VASP calculation (PBE) on a relaxed CsKGa12 crystal.

Size of the total moment, μB/f.u.: 0.0
Formation energy, eV per atom: -0.002

a b c (Å): 6.109 6.109 12.152
angles (deg): 90.00 90.00 90.00
Fractional positions:
Cs 0.000 0.000 0.000
K 0.000 0.000 0.500
Ga 0.196 0.500 0.251
Ga 0.196 0.500 0.749
Ga 0.500 0.196 0.251
Ga 0.500 0.196 0.749
Ga 0.500 0.500 0.098
Ga 0.500 0.500 0.402
Ga 0.500 0.500 0.598
Ga 0.500 0.500 0.902
Ga 0.500 0.804 0.251
Ga 0.500 0.804 0.749
Ga 0.804 0.500 0.251
Ga 0.804 0.500 0.749